No. 1
5
Lattice="-2.330 3.713 -2.293 -3.255 1.403 1.987 0.864 3.183 3.303" Properties=species:S:1:pos:R:3 comment="Zn2Pd2Au PBE relaxed" magnetic_moment_mub_per_fu=0.0 delta_e_f_kj_per_mol_fu=-174 pbc="T T T"
Zn -1.990 4.177 0.013
Zn -2.731 4.122 2.984
Pd -2.732 6.317 1.432
Pd -1.988 1.982 1.565
Au -1.165 1.856 -1.147

No. 2
5
Lattice="5.231 0.000 0.000 0.000 5.231 0.000 0.000 0.000 4.822" Properties=species:S:1:pos:R:3 comment="VHgSeBr2 PBE relaxed" magnetic_moment_mub_per_fu=1.3 raw_formation_energy_ev_per_atom=-0.2782 pbc="T T T"
Se 0.000 0.000 2.411
Hg 2.616 2.616 2.411
Br 0.000 2.616 0.000
Br 2.616 0.000 0.000
V 0.000 0.000 0.000

No. 3
19
Lattice="-1.564 6.238 -0.615 -2.089 0.894 6.047 5.490 2.432 2.383" Properties=species:S:1:pos:R:3 comment="Dy2Cu15Si2 PBE relaxed" magnetic_moment_mub_per_fu=0.0 raw_formation_energy_ev_per_atom=-0.1401 pbc="T T T"
Dy 0.632 3.289 2.688
Dy 1.205 6.275 5.128
Cu -0.782 3.119 -0.307
Cu 2.745 1.216 1.192
Cu -1.044 0.447 3.024
Cu 0.197 1.358 4.942
Cu -1.722 4.626 1.395
Cu 3.362 3.580 1.479
Cu -1.930 2.505 4.038
Cu 0.564 5.090 0.289
Cu 3.204 1.968 3.489
Cu 1.986 3.137 5.426
Cu -1.547 5.044 3.924
Cu 2.249 5.815 2.088
Cu -0.149 6.426 2.390
Cu 3.384 4.520 3.892
Cu -0.412 3.749 5.728
Si 0.179 0.930 0.760
Si 1.658 8.634 7.056

No. 4
7
Lattice="5.357 0.000 0.000 0.000 5.357 0.000 2.678 2.678 7.058" Properties=species:S:1:pos:R:3 comment="KCu2Se4 PBE relaxed" magnetic_moment_mub_per_fu=0.0 raw_formation_energy_ev_per_atom=0.5142 pbc="T T T"
K 0.000 0.000 0.000
Cu 5.357 5.357 5.884
Cu 2.678 2.678 1.174
Se 5.357 5.357 3.626
Se 2.678 2.678 3.433
Se 0.000 2.678 0.000
Se 2.678 0.000 0.000

| no. | N(E_F) (states/eV/cell) |
| --- | --- |
| 1 | 1.97 |
| 2 | 4.96 |
| 3 | 10.23 |
| 4 | 9.65 |